Entry from Alexandria via LeMat-Bulk: a relaxed KRb2LiAs crystal (PBE-GGA).

The structure in POSCAR format:
```
KRb2LiAs
1.0
7.023 0.000 0.000
0.000 7.023 0.000
0.000 0.000 5.005
K Rb Li As
1 2 1 1
direct
0.000 0.000 0.000
0.000 0.500 0.500
0.500 0.000 0.500
0.500 0.500 0.000
0.500 0.500 0.500
```

Calculated values
Total energy (Ry/atom): -0.154
ΔH_f (0 K) (kJ/mol of formula units): -83
Density (g/cm3): 2.0
Spin magnetization (μB per formula unit): 0.0


Entry from Alexandria via LeMat-Bulk: a relaxed Y5ZnPd2 crystal (PBE-GGA).

The structure in POSCAR format:
```
Y5ZnPd2
1.0
-3.900 3.900 6.669
3.900 -3.900 6.669
3.900 3.900 -6.669
Y Zn Pd
10 2 4
direct
0.000 0.000 0.000
0.017 0.517 0.821
0.195 0.017 0.500
0.305 0.805 0.821
0.483 0.305 0.500
0.500 0.500 0.000
0.517 0.695 0.500
0.695 0.195 0.179
0.805 0.983 0.500
0.983 0.483 0.179
0.250 0.250 0.000
0.750 0.750 0.000
0.133 0.367 0.500
0.367 0.867 0.234
0.633 0.133 0.766
0.867 0.633 0.500
```

Calculated values
Total energy (Ry/atom): -0.443
ΔH_f (0 K) (kJ/mol of formula units): -404
Density (g/cm3): 5.9
Spin magnetization (μB per formula unit): 0.0


Entry from Alexandria via LeMat-Bulk: a relaxed Ce4GaSi crystal (PBE-GGA).

The structure in POSCAR format:
```
Ce4GaSi
1.0
5.010 0.000 0.000
0.000 5.963 0.000
0.000 0.000 8.715
Ce Ga Si
8 2 2
direct
0.000 0.250 0.167
0.000 0.250 0.833
0.000 0.750 0.167
0.000 0.750 0.833
0.500 0.250 0.333
0.500 0.250 0.667
0.500 0.750 0.333
0.500 0.750 0.667
0.000 0.000 0.500
0.500 0.500 0.000
0.000 0.500 0.500
0.500 0.000 0.000
```

Calculated values
Uncorrected formation energy (meV/atom): -265
Total energy (Ry/atom): -0.414
Density (g/cm3): 8.4
Energy relative to the lowest polymorph listed for this composition (meV/atom): 0
Spin magnetization (μB per formula unit): 0.7


Entry from Alexandria via LeMat-Bulk: a relaxed YVPd2C crystal (PBE-GGA).

The structure in POSCAR format:
```
YVPd2C
1.0
4.430 0.000 0.000
0.000 4.430 0.000
0.000 0.000 5.493
Y V Pd C
1 1 2 1
direct
0.000 0.000 0.000
0.000 0.000 0.500
0.000 0.500 0.500
0.500 0.000 0.500
0.500 0.500 0.000
```

Calculated values
Total energy (Ry/atom): -0.401
ΔH_f (0 K) (kJ/mol of formula units): 766
Density (g/cm3): 5.6
Spin magnetization (μB per formula unit): 0.3


Entry from Alexandria via LeMat-Bulk: a relaxed Rb2ZrZn crystal (PBE-GGA).

The structure in POSCAR format:
```
Rb2ZrZn
1.0
12.763 0.000 0.000
0.000 12.763 0.000
0.000 0.000 5.408
Rb Zr Zn
8 4 4
direct
0.106 0.250 0.125
0.250 0.606 0.375
0.250 0.894 0.875
0.394 0.250 0.625
0.606 0.750 0.625
0.750 0.106 0.875
0.750 0.394 0.375
0.894 0.750 0.125
0.000 0.000 0.500
0.000 0.500 0.750
0.500 0.000 0.250
0.500 0.500 0.000
0.000 0.000 0.000
0.000 0.500 0.250
0.500 0.000 0.750
0.500 0.500 0.500
```

Calculated values
Total energy (Ry/atom): -0.148
ΔH_f (0 K) (kJ/mol of formula units): 359
Density (g/cm3): 2.5
Spin magnetization (μB per formula unit): 2.6


Entry from Alexandria via LeMat-Bulk: a relaxed V6ReRu5 crystal (PBE-GGA).

The structure in POSCAR format:
```
V6ReRu5
1.0
2.133 -6.418 0.000
2.133 6.418 0.000
0.000 0.000 6.017
V Re Ru
6 1 5
direct
0.000 0.000 0.246
0.000 0.000 0.754
0.337 0.663 0.249
0.337 0.663 0.751
0.663 0.337 0.249
0.663 0.337 0.751
0.500 0.500 0.000
0.169 0.831 0.500
0.171 0.829 0.000
0.500 0.500 0.500
0.829 0.171 0.000
0.831 0.169 0.500
```

Calculated values
Total energy (Ry/atom): -0.714
ΔH_f (0 K) (kJ/mol of formula units): -299
Density (g/cm3): 10.1
Spin magnetization (μB per formula unit): 1.9


Entry from Alexandria via LeMat-Bulk: a relaxed CuTc4Se crystal (PBE-GGA).

The structure in POSCAR format:
```
CuTc4Se
1.0
0.000 3.641 3.641
3.641 0.000 3.641
3.641 3.641 0.000
Cu Tc Se
1 4 1
direct
0.000 0.000 0.000
0.126 0.625 0.625
0.625 0.126 0.625
0.625 0.625 0.126
0.625 0.625 0.625
0.250 0.250 0.250
```

Calculated values
Uncorrected formation energy (meV/atom): 694
Total energy (Ry/atom): -0.550
Density (g/cm3): 9.2
Spin magnetization (μB per formula unit): 0.0


Entry from Alexandria via LeMat-Bulk: a relaxed NpSnIrRh crystal (PBE-GGA).

The structure in POSCAR format:
```
NpSnIrRh
1.0
6.701 0.000 0.000
0.000 6.701 0.000
0.000 0.000 6.701
Np Sn Ir Rh
4 4 4 4
direct
0.000 0.000 0.000
0.000 0.500 0.500
0.500 0.000 0.500
0.500 0.500 0.000
0.000 0.000 0.500
0.000 0.500 0.000
0.500 0.000 0.000
0.500 0.500 0.500
0.250 0.250 0.750
0.250 0.750 0.250
0.750 0.250 0.250
0.750 0.750 0.750
0.250 0.250 0.250
0.250 0.750 0.750
0.750 0.250 0.750
0.750 0.750 0.250
```

Calculated values
Total energy (Ry/atom): -0.632
ΔH_f (0 K) (kJ/mol of formula units): -122
Density (g/cm3): 14.4
Spin magnetization (μB per formula unit): 3.3


Entry from Alexandria via LeMat-Bulk: a relaxed Mg3Au crystal (PBE-GGA).

The structure in POSCAR format:
```
Mg3Au
1.0
9.556 0.000 0.000
-4.778 8.276 0.000
0.000 0.000 3.006
Mg Au
9 3
direct
0.000 0.500 0.000
0.167 0.333 0.333
0.167 0.833 0.333
0.333 0.167 0.667
0.500 0.000 0.000
0.500 0.500 0.000
0.667 0.833 0.333
0.833 0.167 0.667
0.833 0.667 0.667
0.000 0.000 0.000
0.333 0.667 0.667
0.667 0.333 0.333
```

Calculated values
Total energy (Ry/atom): -0.164
ΔH_f (0 K) (kJ/mol of formula units): -85
Density (g/cm3): 5.7
Energy relative to the lowest polymorph listed for this composition (meV/atom): 195
Spin magnetization (μB per formula unit): 0.0


Entry from Alexandria via LeMat-Bulk: a relaxed Na2PmInS4 crystal (PBE-GGA).

The structure in POSCAR format:
```
Na2PmInS4
1.0
6.866 0.000 0.000
0.000 3.975 0.000
-2.334 0.000 6.752
Na Pm In S
2 1 1 4
direct
0.000 0.000 0.000
0.500 0.500 0.000
0.000 0.500 0.500
0.500 0.000 0.500
0.252 0.000 0.733
0.274 0.500 0.277
0.726 0.500 0.723
0.748 0.000 0.267
```

Calculated values
Uncorrected formation energy (meV/atom): -1303
Total energy (Ry/atom): -0.341
Density (g/cm3): 3.9
Spin magnetization (μB per formula unit): 0.0


Entry from Alexandria via LeMat-Bulk: a relaxed Th2IrBr2 crystal (PBE-GGA).

The structure in POSCAR format:
```
Th2IrBr2
1.0
4.163 0.000 0.000
-2.082 3.605 0.000
0.000 0.000 33.077
Th Ir Br
6 3 6
direct
0.000 0.000 0.119
0.000 0.000 0.881
0.333 0.667 0.547
0.333 0.667 0.786
0.667 0.333 0.214
0.667 0.333 0.453
0.000 0.000 0.500
0.333 0.667 0.167
0.667 0.333 0.833
0.000 0.000 0.277
0.000 0.000 0.723
0.333 0.667 0.390
0.333 0.667 0.943
0.667 0.333 0.057
0.667 0.333 0.610
```

Calculated values
Uncorrected formation energy (meV/atom): -1362
Total energy (Ry/atom): -0.498
Density (g/cm3): 8.2
Spin magnetization (μB per formula unit): 0.0